No. 1
VASP calculation (PBE-GGA) on a relaxed structure of FePH12C4Cl4.

Properties
Energy: -216.082 eV for the cell shown
SG: No. 186

a b c (Å): 7.856 7.856 12.854
angles (deg): 90.00 90.00 120.00
Site moments in Bohr magnetons follow the coordinates.
Fractional coordinates of all 44 atoms:
Fe: 0.000 0.000 0.040  3.75
Fe: 0.000 0.000 0.540  3.75
P: 0.667 0.333 0.295  0.00
P: 0.333 0.667 0.795  0.00
H: 0.743 0.257 0.463  0.00
H: 0.514 0.257 0.463  0.00
H: 0.743 0.486 0.463  0.00
H: 0.257 0.743 0.963  0.00
H: 0.486 0.743 0.963  0.00
H: 0.257 0.514 0.963  0.00
H: 0.542 0.085 0.163  0.00
H: 0.542 0.458 0.163  0.00
H: 0.915 0.458 0.163  0.00
H: 0.458 0.915 0.663  0.00
H: 0.458 0.542 0.663  0.00
H: 0.085 0.542 0.663  0.00
H: 0.390 0.009 0.278  0.00
H: 0.619 0.610 0.278  0.00
H: 0.991 0.381 0.278  0.00
H: 0.619 0.009 0.278  0.00
H: 0.991 0.610 0.278  0.00
H: 0.390 0.381 0.278  0.00
H: 0.610 0.991 0.778  0.00
H: 0.381 0.390 0.778  0.00
H: 0.009 0.619 0.778  0.00
H: 0.381 0.991 0.778  0.00
H: 0.009 0.390 0.778  0.00
H: 0.610 0.619 0.778  0.00
C: 0.667 0.333 0.435  0.00
C: 0.333 0.667 0.935  0.00
C: 0.542 0.084 0.249  0.00
C: 0.542 0.458 0.249  0.00
C: 0.916 0.458 0.249  0.00
C: 0.458 0.916 0.749  0.00
C: 0.458 0.542 0.749  0.00
C: 0.084 0.542 0.749  0.00
Cl: 0.000 0.000 0.212  0.20
Cl: 0.000 0.000 0.712  0.20
Cl: 0.308 0.154 0.984  0.19
Cl: 0.846 0.692 0.984  0.19
Cl: 0.846 0.154 0.984  0.19
Cl: 0.692 0.846 0.484  0.19
Cl: 0.154 0.308 0.484  0.19
Cl: 0.154 0.846 0.484  0.19

No. 2
VASP calculation (PBE-GGA) on a relaxed structure of KFe2CCl.

Properties
E_form (uncorrected): 0.17 eV per atom
Energy: -28.246 eV for the cell shown
SG: No. 123

a b c (Å): 3.840 7.573 3.840
angles (deg): 90.00 90.00 90.00
Site moments in Bohr magnetons follow the coordinates.
Fractional coordinates of all 5 atoms:
C: 0.000 0.000 0.000  -0.20
K: 0.000 0.500 0.000  0.00
Fe: 0.000 0.000 0.500  2.25
Fe: 0.500 0.000 0.000  2.34
Cl: 0.500 0.500 0.500  0.01